VASP calculation (PBE) on a relaxed structure of NbTlO2F.

a b c (Å): 4.3520 4.3520 4.2932
angles (deg): 90.00 90.00 90.00
Last column: magnetic moment on the atom in μB.
Fractional coordinates of all 5 atoms:
1 Nb 0.5000 0.5000 0.5000  2.54
2 O 0.0000 0.5000 0.0000  -0.07
3 O 0.5000 0.0000 0.0000  -0.07
4 F 0.0000 0.0000 0.5000  0.05
5 Tl 0.0000 0.0000 0.0000  0.00

- Raw total energy: -4.978 eV per atom
- Crystal system: tetragonal
- Formation energy from raw total energies: -0.133 eV per atom